[1]
## AlFe2WN (PBE-GGA)

Data for a geometry-optimized AlFe2WN structure.

Structure (POSCAR):
```
AlFe2WN
1.0
3.6712 0.0000 0.0000
0.0000 3.6712 0.0000
0.0000 0.0000 4.2797
Al Fe W N
1 2 1 1
direct
0.0000 0.0000 0.0000
0.0000 0.5000 0.5000
0.5000 0.0000 0.5000
0.5000 0.5000 0.0000
0.0000 0.0000 0.5000
```

Values from the calculation:
Its uncorrected formation energy is 0.18 eV per atom. The value obtained for the mass density is 9.69 Mg/m³. Its space group is P4/mmm.

---

[2]
## NaAl2Fe2 (PBE-GGA)

Data for a geometry-optimized NaAl2Fe2 structure.

Structure (POSCAR):
```
NaAl2Fe2
1.0
7.5733 0.0000 0.0000
0.0000 7.5733 0.0000
0.0000 0.0000 2.6090
Na Al Fe
2 4 4
direct
0.0000 0.0000 0.0000
0.5000 0.5000 0.0000
0.1769 0.3231 0.5000
0.3231 0.8231 0.5000
0.6769 0.1769 0.5000
0.8231 0.6769 0.5000
0.1131 0.6131 0.0000
0.3869 0.1131 0.0000
0.6131 0.8869 0.0000
0.8869 0.3869 0.0000
```

Values from the calculation:
The energy above the most stable polymorph in this dataset comes out at 0 meV per atom. For the formation energy from the elements, the calculation gives -29.0 meV/atom. The value obtained for the mass density is 4.19 Mg/m³. Its space group is P4/mbm.

---

[3]
## NaAl2Fe (PBE-GGA)

Data for a geometry-optimized NaAl2Fe structure.

Structure (POSCAR):
```
NaAl2Fe
1.0
6.2088 0.0000 0.0000
0.0000 6.2088 0.0000
0.0000 0.0000 6.2088
Na Al Fe
4 8 4
direct
0.0000 0.0000 0.0000
0.0000 0.5000 0.5000
0.5000 0.0000 0.5000
0.5000 0.5000 0.0000
0.2500 0.2500 0.2500
0.2500 0.2500 0.7500
0.2500 0.7500 0.2500
0.2500 0.7500 0.7500
0.7500 0.2500 0.2500
0.7500 0.2500 0.7500
0.7500 0.7500 0.2500
0.7500 0.7500 0.7500
0.0000 0.0000 0.5000
0.0000 0.5000 0.0000
0.5000 0.0000 0.0000
0.5000 0.5000 0.5000
```

Values from the calculation:
The energy above the most stable polymorph in this dataset comes out at 0 meV per atom. For the formation energy from the elements, the calculation gives 294.9 meV/atom. The value obtained for the mass density is 3.69 Mg/m³. Its space group is Fm-3m.